1.
Material: NdHo3Co
Method: DFT, PBE
State: relaxed

Results
V, Å³/cell: 545
Total energy, eV per atom: -5.15
Space-group type: P2_1/c
Calculated formation energy, eV per atom: -0.027

abc: 7.372 7.829 9.894
angles: 107.25 90.00 90.00
Sites, in units of the cell vectors:
Ho 0.628 0.926 0.112
Co 0.746 0.051 0.397
Co 0.754 0.051 0.897
Co 0.246 0.949 0.103
Nd 0.442 0.321 0.248
Ho 0.504 0.207 0.612
Ho 0.996 0.207 0.112
Ho 0.302 0.592 0.037
Ho 0.128 0.074 0.388
Nd 0.558 0.679 0.752
Ho 0.802 0.408 0.463
Ho 0.004 0.793 0.888
Ho 0.698 0.408 0.963
Ho 0.872 0.926 0.612
Ho 0.198 0.592 0.537
Ho 0.372 0.074 0.888
Nd 0.942 0.679 0.252
Nd 0.058 0.321 0.748
Co 0.254 0.949 0.603
Ho 0.496 0.793 0.388

***

2.
Material: NiAs2Se
Method: DFT, PBE
State: relaxed

Results
V, Å³/cell: 69
Total energy, eV per atom: -4.23
Formation energy (no corrections), meV per atom: 408
Space-group type: Cmmm

abc: 4.660 4.660 3.356
angles: 90.00 90.00 107.62
Sites, in units of the cell vectors:
Se 0.000 0.500 0.500
As 0.500 0.500 0.000
As 0.000 0.000 0.000
Ni 0.500 0.000 0.500

***

3.
Material: UNiMo2
Method: DFT, PBE
State: relaxed

Results
V, Å³/cell: 75
Total energy, eV per atom: -8.62
Space-group type: R-3m
Calculated formation energy, eV per atom: 1.061

abc: 3.162 3.162 8.866
angles: 79.73 79.73 60.00
Sites, in units of the cell vectors:
Ni 0.000 0.000 0.000
Mo 0.094 0.094 0.718
Mo 0.906 0.906 0.282
U 0.500 0.500 0.500

***

4.
Material: Ca2PrHg3
Method: DFT, PBE
State: relaxed

Results
V, Å³/cell: 167
Total energy, eV per atom: -2.14
Space-group type: P4/mmm
Calculated formation energy, eV per atom: -0.527

abc: 3.807 3.807 11.521
angles: 90.00 90.00 90.00
Sites, in units of the cell vectors:
Ca 0.500 0.500 0.837
Pr 0.500 0.500 0.500
Hg 0.000 0.000 0.000
Hg 0.000 0.000 0.330
Ca 0.500 0.500 0.163
Hg 0.000 0.000 0.670

***

5.
Material: K4Nd3ZnO8
Method: DFT, PBE
State: relaxed

Results
V, Å³/cell: 280
Total energy, eV per atom: -5.88
Formation energy (no corrections), meV per atom: -2152
Space-group type: C2/m

abc: 6.987 7.421 7.227
angles: 117.17 118.91 90.00
Sites, in units of the cell vectors:
O 0.800 0.327 0.045
Zn 0.000 0.500 0.000
K 0.000 0.000 0.500
O 0.277 0.308 0.554
Nd 0.500 0.500 0.500
K 0.500 0.000 0.000
K 0.000 0.000 0.000
O 0.734 0.275 0.469
O 0.755 0.673 0.955
O 0.723 0.692 0.446
K 0.500 0.000 0.500
O 0.200 0.673 0.955
O 0.245 0.327 0.045
Nd 0.500 0.500 0.000
O 0.266 0.725 0.531
Nd 0.000 0.500 0.500

***

6.
Material: RbGeP
Method: DFT, PBE
State: relaxed

Results
V, Å³/cell: 211
Total energy, eV per atom: -3.78
Space-group type: P1
Calculated formation energy, eV per atom: -0.117

abc: 5.243 6.502 7.793
angles: 57.56 75.51 70.92
Sites, in units of the cell vectors:
Ge 0.103 0.039 0.390
P 0.787 0.066 0.225
Rb 0.847 0.453 0.667
Rb 0.574 0.751 0.046
P 0.195 0.803 0.717
Ge 0.444 0.167 0.462

***

7.
Material: BeSiSb
Method: DFT, PBE
State: relaxed

Results
V, Å³/cell: 128
Total energy, eV per atom: -4.16
Formation energy (no corrections), meV per atom: 260
Space-group type: P1

abc: 4.769 5.099 5.993
angles: 65.33 83.55 75.34
Sites, in units of the cell vectors:
Si 0.807 0.757 0.263
Sb 0.354 0.169 0.301
Sb 0.785 0.371 0.722
Si 0.543 0.642 0.017
Be 0.380 0.122 0.717
Be 0.136 0.995 0.057

***

8.
Material: Sr3Ac4Os2
Method: DFT, PBE
State: relaxed

Results
V, Å³/cell: 402
Total energy, eV per atom: -4.82
Space-group type: C2/m
Calculated formation energy, eV per atom: 0.061

abc: 4.316 10.797 10.314
angles: 120.76 90.00 101.53
Sites, in units of the cell vectors:
Os 0.323 0.647 0.215
Sr 0.355 0.711 0.535
Os 0.677 0.353 0.785
Ac 0.076 0.151 0.718
Sr 0.000 0.000 0.000
Ac 0.710 0.421 0.109
Ac 0.290 0.579 0.891
Sr 0.645 0.289 0.465
Ac 0.924 0.849 0.282

***

9.
Material: TiRuN
Method: DFT, PBE
State: relaxed

Results
V, Å³/cell: 141
Total energy, eV per atom: -9.19
Formation energy (no corrections), meV per atom: -691
Space-group type: Cm

abc: 5.020 2.914 9.764
angles: 90.00 99.47 90.00
Sites, in units of the cell vectors:
Ti 0.282 0.500 0.670
Ru 0.733 0.500 0.156
Ru 0.520 0.500 0.405
Ti 0.991 0.500 0.896
N 0.129 0.500 0.280
Ti 0.282 0.000 0.170
Ru 0.520 0.000 0.905
Ti 0.991 0.000 0.396
Ru 0.733 0.000 0.656
N 0.129 0.000 0.780
N 0.873 0.000 0.034
N 0.873 0.500 0.534

***

no.,total magnetization (Bohr magnetons per cell)
1,0.00
2,0.00
3,0.00
4,0.31
5,1.19
6,0.00
7,0.00
8,0.00
9,0.00